# Ba2CeCoO6, relaxed, DFT GGA+U
data_Ba2CeCoO6
_space_group_name_H-M_alt 'P -3 m 1'
_space_group_IT_number 164
_space_group_name_Hall '-P 3 2"'
_cell_length_a 5.9516
_cell_length_b 5.9516
_cell_length_c 5.5598
_cell_angle_alpha 90.00
_cell_angle_beta 90.00
_cell_angle_gamma 120.00
loop_
_atom_site_label
_atom_site_fract_x
_atom_site_fract_y
_atom_site_fract_z
_atom_site_occupancy
Ba1 0.3333 0.6667 0.1429 1
Ce1 0.0000 0.0000 0.5000 1
Co1 0.0000 0.0000 0.0000 1
O1 0.1505 0.3009 0.7943 1
# - calculated density (g cm⁻³) = 5.55
# - total moment (μB per atom) = 0.101
# - calculated total energy (Ry/atom) = -0.49296